Record 1
A plane-wave DFT calculation with GGA-PBE was carried out for an optimized crystal structure of SrGa3As3.

a b c (Å): 7.7048 7.7048 20.9336
angles (deg): 90.00 90.00 120.00
Space group R-3 (No. 148, hexagonal axes)
One atom of each set of equivalent atoms:
Sr 0.0000 0.0000 0.1658 [6 per cell]
Ga 0.0010 0.6635 0.2870 [18 per cell]
As 0.9999 0.3359 0.9240 [18 per cell]

For the size of the total moment, the calculation gives 0.0 Bohr magnetons per cell. The calculation puts the final energy at -0.2900 Ry per atom. The crystal system is trigonal.

Record 2
A plane-wave DFT calculation with GGA-PBE was carried out for an optimized crystal structure of SrGaAs3.

a b c (Å): 5.668 5.668 5.668
angles (deg): 90.00 90.00 90.00
Space group Pm-3m (No. 221)
One atom of each set of equivalent atoms:
Sr 0.000 0.000 0.000 [1 per cell]
Ga 0.500 0.500 0.500 [1 per cell]
As 0.000 0.000 0.500 [3 per cell]

For the size of the total moment, the calculation gives 0.0 Bohr magnetons per cell. The calculation puts the energy above the most stable polymorph in this dataset at 447.0 kJ/mol of formula units. The crystal system is cubic.

Record 3
A plane-wave DFT calculation with GGA-PBE was carried out for an optimized crystal structure of SrGa2As.

a b c (Å): 8.100 8.100 6.167
angles (deg): 90.00 90.00 90.00
Space group I-42d (No. 122)
One atom of each set of equivalent atoms:
Sr 0.000 0.000 0.000 [4 per cell]
Ga 0.194 0.250 0.625 [8 per cell]
As 0.000 0.000 0.500 [4 per cell]

For the size of the total moment, the calculation gives 0.0 Bohr magnetons per cell. The calculation puts the final energy at -0.2573 Ry per atom. The crystal system is tetragonal.

Record 4
A plane-wave DFT calculation with GGA-PBE was carried out for an optimized crystal structure of Sr2GaAs2.

a b c (Å): 13.655 6.301 8.651
angles (deg): 90.00 122.34 90.00
Space group C2/m (No. 12)
One atom of each set of equivalent atoms:
Sr 0.048 0.000 0.302 [4 per cell]
Sr 0.179 0.500 0.089 [4 per cell]
Ga 0.130 0.500 0.655 [4 per cell]
As 0.049 0.500 0.323 [4 per cell]
As 0.172 0.000 0.091 [4 per cell]

For the size of the total moment, the calculation gives 3.5 Bohr magnetons per cell. The calculation puts the energy above the most stable polymorph in this dataset at 16.8 kJ/mol of formula units. The crystal system is monoclinic.

Record 5
A plane-wave DFT calculation with GGA-PBE was carried out for an optimized crystal structure of Sr3GaAs3.

a b c (Å): 19.451 6.589 12.816
angles (deg): 90.00 90.00 90.00
Space group Cmce (No. 64)
One atom of each set of equivalent atoms:
Sr 0.000 0.183 0.147 [8 per cell]
Sr 0.177 0.193 0.870 [16 per cell]
Ga 0.087 0.000 0.500 [8 per cell]
As 0.000 0.207 0.395 [8 per cell]
As 0.160 0.210 0.622 [16 per cell]

For the size of the total moment, the calculation gives 0.0 Bohr magnetons per cell. The calculation puts the final energy at -0.3062 Ry per atom. The crystal system is orthorhombic.

Record 6
A plane-wave DFT calculation with GGA-PBE was carried out for an optimized crystal structure of Sr14GaAs11.

a b c (Å): 16.642 22.349 16.637
angles (deg): 90.00 90.00 90.00
Space group Iba2 (No. 45)
One atom of each set of equivalent atoms:
Sr 0.000 0.000 0.025 [4 per cell]
Sr 0.000 0.500 0.323 [4 per cell]
Sr 0.069 0.422 0.127 [8 per cell]
Sr 0.071 0.155 0.021 [8 per cell]
Sr 0.071 0.343 0.829 [8 per cell]
Sr 0.077 0.080 0.716 [8 per cell]
Sr 0.091 0.092 0.353 [8 per cell]
Sr 0.100 0.247 0.424 [8 per cell]
Sr 0.100 0.404 0.495 [8 per cell]
Sr 0.122 0.254 0.196 [8 per cell]
Sr 0.123 0.244 0.650 [8 per cell]
Sr 0.204 0.173 0.854 [8 per cell]
Sr 0.208 0.331 0.000 [8 per cell]
Sr 0.226 0.006 0.548 [8 per cell]
Sr 0.228 0.497 0.302 [8 per cell]
Ga 0.250 0.125 0.174 [8 per cell]
As 0.025 0.297 0.041 [8 per cell]
As 0.026 0.204 0.801 [8 per cell]
As 0.114 0.125 0.538 [8 per cell]
As 0.117 0.061 0.170 [8 per cell]
As 0.117 0.438 0.677 [8 per cell]
As 0.120 0.047 0.898 [8 per cell]
As 0.120 0.375 0.303 [8 per cell]
As 0.120 0.454 0.949 [8 per cell]
As 0.237 0.375 0.186 [8 per cell]
As 0.246 0.188 0.308 [8 per cell]
As 0.247 0.310 0.542 [8 per cell]

For the size of the total moment, the calculation gives 0.0 Bohr magnetons per cell. The calculation puts the final energy at -0.3019 Ry per atom. The crystal system is orthorhombic.

Q: Among the records above, which one has the highest size of the total moment?
A: Sr2GaAs2